A relaxed structure of InSiTe2. Source: Alexandria, functional GGA-PBE.

Geometry as POSCAR:
```
InSiTe2
1.0
-0.516 4.136 0.464
-3.963 -0.265 -2.042
-6.285 -1.215 3.837
Te Si In
2 1 1
Direct
0.000 0.069 0.883
0.500 0.083 0.415
0.500 0.710 0.841
0.000 0.638 0.362
```

Values from the calculation:
The calculation puts the uncorrected formation energy at -0.007 eV per atom. The calculation puts the total energy at -3.62 eV/atom. As for the energy above the most stable polymorph in this dataset: 0.016 eV per atom. As for the space-group type: Pm (6).